Entry 1:
A plane-wave DFT calculation with GGA-PBE was carried out for a relaxed RbHoMnSe3 crystal.

Unit cell a=9.331 b=4.230 c=10.076 alpha=90.00 beta=109.51 gamma=90.00
Space group P2_1/m (No. 11)
Asymmetric unit:
Rb 0.212 0.250 0.238 x2
Ho 0.333 0.750 0.862 x2
Mn 0.086 0.250 0.611 x2
Se 0.119 0.250 0.863 x2
Se 0.203 0.750 0.543 x2
Se 0.469 0.750 0.157 x2

Values from the calculation:
Uncorrected formation energy = -125.22 kJ per mole of atoms

---

Entry 2:
A plane-wave DFT calculation with GGA-PBE was carried out for a relaxed Cs3Mg2InI8 crystal.

Unit cell a=8.8300 b=8.8300 c=10.9549 alpha=90.00 beta=90.00 gamma=120.00
Space group P-3m1 (No. 164)
Asymmetric unit:
Cs 0.0000 0.0000 0.0000 x1
Cs 0.3333 0.6667 0.6107 x2
Mg 0.3333 0.6667 0.1955 x2
In 0.0000 0.0000 0.5000 x1
I 0.1695 0.3390 0.3023 x6
I 0.3333 0.6667 0.9517 x2

Values from the calculation:
Uncorrected formation energy = -112.32 kJ per mole of atoms

---

Entry 3:
A plane-wave DFT calculation with GGA-PBE was carried out for a relaxed Pr2Sm4Co crystal.

Unit cell a=5.249 b=5.249 c=17.414 alpha=90.00 beta=90.00 gamma=90.00
Space group I4/mmm (No. 139)
Asymmetric unit:
Pr 0.000 0.000 0.147 x4
Sm 0.000 0.000 0.342 x4
Sm 0.000 0.500 0.000 x4
Co 0.000 0.000 0.500 x2

Values from the calculation:
ΔH_f (0 K) = 222 meV/atom

---

Entry 4:
A plane-wave DFT calculation with GGA-PBE was carried out for a relaxed SrGaSb2O8 crystal.

Unit cell a=4.968 b=6.506 c=4.969 alpha=90.00 beta=95.60 gamma=90.00
Space group P2/m (No. 10)
Asymmetric unit:
Sr 0.000 0.000 0.000 x1
Ga 0.000 0.500 0.000 x1
Sb 0.500 0.255 0.500 x2
O 0.207 0.289 0.210 x4
O 0.312 0.500 0.690 x2
O 0.334 0.000 0.669 x2

Values from the calculation:
Uncorrected formation energy = -146.52 kJ per mole of atoms